(1)
## NdSm3Ga4 (PBE)

Data for crystalline NdSm3Ga4 at its relaxed geometry.

Calculated values
ρ   7.40 g/cm3
Calculated formation energy   -0.57 eV/atom
Distance to the lowest polymorph of the same formula   0.000 eV/atom
M_tot   0.0 μB per formula unit

a b c (Å): 5.1731 5.1731 7.3296
angles (deg): 90.00 90.00 90.00
Last column: nearest neighbours and their distance in Å.
Space group P4/mmm (No. 123)
Inequivalent atoms, fractional coordinates:
Nd: 0.0000 0.0000 0.0000 (multiplicity 1)  8 Ga 3.18
Sm: 0.0000 0.0000 0.5000 (multiplicity 1)  8 Ga 3.16
Sm: 0.5000 0.5000 0.0000 (multiplicity 1)  8 Ga 3.18
Sm: 0.5000 0.5000 0.5000 (multiplicity 1)  8 Ga 3.16
Ga: 0.0000 0.5000 0.2526 (multiplicity 4)  6 Sm 3.16-3.18, 2 Nd 3.18

---

(2)
## SmCd4Ag (PBE)

Data for crystalline SmCd4Ag at its relaxed geometry.

Calculated values
ρ   8.01 g/cm3
Calculated formation energy   -0.07 eV/atom
Distance to the lowest polymorph of the same formula   0.129 eV/atom
M_tot   0.0 μB per formula unit

a b c (Å): 5.1027 14.9161 7.7166
angles (deg): 90.00 90.00 90.00
Last column: nearest neighbours and their distance in Å.
Space group Cmcm (No. 63)
Inequivalent atoms, fractional coordinates:
Sm: 0.0000 0.1202 0.2500 (multiplicity 4)  5 Cd 3.04-3.28
Cd: 0.0000 0.0838 0.7500 (multiplicity 4)  2 Ag 2.74, 1 Sm 3.04
Cd: 0.0000 0.2757 0.5735 (multiplicity 8)  1 Ag 2.72, 3 Cd 2.72-2.90
Cd: 0.0000 0.5000 0.0000 (multiplicity 4)  2 Ag 2.97
Ag: 0.0000 0.3489 0.2500 (multiplicity 4)  6 Cd 2.72-2.97

---

(3)
## HfMgTe2I (PBE)

Data for crystalline HfMgTe2I at its relaxed geometry.

Calculated values
ρ   5.44 g/cm3
Distance to the lowest polymorph of the same formula   0.000 eV/atom
M_tot   0.0 μB per formula unit
ΔE_f (raw)   -0.22 eV/atom

a b c (Å): 5.5948 5.5948 5.7088
angles (deg): 90.00 90.00 90.00
Last column: nearest neighbours and their distance in Å.
Space group P4/mmm (No. 123)
Inequivalent atoms, fractional coordinates:
Hf: 0.0000 0.0000 0.0000 (multiplicity 1)  4 Te 2.80, 2 I 2.85
Mg: 0.5000 0.5000 0.5000 (multiplicity 1)  4 I 3.96, 8 Te 4.00
Te: 0.0000 0.5000 0.0000 (multiplicity 2)  2 Hf 2.80
I: 0.0000 0.0000 0.5000 (multiplicity 1)  2 Hf 2.85

---

(4)
## IrPd3Cl (PBE)

Data for crystalline IrPd3Cl at its relaxed geometry.

Calculated values
ρ   10.26 g/cm3
Distance to the lowest polymorph of the same formula   0.000 eV/atom
M_tot   1.7 μB per formula unit
ΔE_f (raw)   0.97 eV/atom

a b c (Å): 4.4571 4.4571 4.4571
angles (deg): 90.00 90.00 90.00
Last column: nearest neighbours and their distance in Å.
Space group Pm-3m (No. 221)
Inequivalent atoms, fractional coordinates:
Ir: 0.0000 0.0000 0.0000 (multiplicity 1)  12 Pd 3.15
Pd: 0.0000 0.5000 0.5000 (multiplicity 3)  2 Cl 2.23
Cl: 0.5000 0.5000 0.5000 (multiplicity 1)  6 Pd 2.23

---

(5)
## CdFeSb2Mo (PBE)

Data for crystalline CdFeSb2Mo at its relaxed geometry.

Calculated values
ρ   6.01 g/cm3
M_tot   6.5 μB per formula unit
ΔE_f (raw)   1.65 eV/atom

a b c (Å): 5.3844 5.3844 4.8395
angles (deg): 90.00 90.00 90.00
Last column: nearest neighbours and their distance in Å.
Space group P4/mmm (No. 123)
Inequivalent atoms, fractional coordinates:
Cd: 0.0000 0.0000 0.0000 (multiplicity 1)  2 Fe 2.42, 4 Sb 2.69
Fe: 0.0000 0.0000 0.5000 (multiplicity 1)  2 Cd 2.42
Sb: 0.0000 0.5000 0.0000 (multiplicity 2)  2 Cd 2.69
Mo: 0.5000 0.5000 0.5000 (multiplicity 1)  8 Sb 3.62, 4 Fe 3.81

---

(6)
## Sr2CdAg (PBE)

Data for crystalline Sr2CdAg at its relaxed geometry.

Calculated values
ρ   4.91 g/cm3
Calculated formation energy   -0.18 eV/atom
M_tot   0.0 μB per formula unit

a b c (Å): 3.9065 3.9065 8.7617
angles (deg): 90.00 90.00 90.00
Last column: nearest neighbours and their distance in Å.
Space group P4mm (No. 99)
Inequivalent atoms, fractional coordinates:
Sr: 0.0000 0.0000 0.0000 (multiplicity 1)  1 Ag 3.41, 4 Cd 3.44
Sr: 0.5000 0.5000 0.3843 (multiplicity 1)  1 Cd 3.34, 4 Ag 3.40
Cd: 0.5000 0.5000 0.7655 (multiplicity 1)  4 Ag 3.08, 5 Sr 3.34-3.44
Ag: 0.0000 0.0000 0.6105 (multiplicity 1)  4 Cd 3.08, 5 Sr 3.40-3.41

---

(7)
## LaGa2CoAg (PBE)

Data for crystalline LaGa2CoAg at its relaxed geometry.

Calculated values
ρ   6.74 g/cm3
Calculated formation energy   -0.27 eV/atom
Distance to the lowest polymorph of the same formula   0.006 eV/atom
M_tot   0.0 μB per formula unit

a b c (Å): 4.6667 4.6667 5.0381
angles (deg): 90.00 90.00 90.00
Last column: nearest neighbours and their distance in Å.
Space group P4/mmm (No. 123)
Inequivalent atoms, fractional coordinates:
La: 0.0000 0.0000 0.0000 (multiplicity 1)  2 Co 2.52
Ga: 0.0000 0.5000 0.5000 (multiplicity 2)  2 Co 2.33
Co: 0.0000 0.0000 0.5000 (multiplicity 1)  4 Ga 2.33, 2 La 2.52
Ag: 0.5000 0.5000 0.0000 (multiplicity 1)  4 La 3.30, 8 Ga 3.43

---

(8)
## DyY6Sc (PBE)

Data for crystalline DyY6Sc at its relaxed geometry.

Calculated values
ρ   4.84 g/cm3
Calculated formation energy   0.21 eV/atom
Distance to the lowest polymorph of the same formula   0.196 eV/atom
M_tot   0.0 μB per formula unit

a b c (Å): 6.4850 6.7623 6.8175
angles (deg): 118.46 101.88 91.87
Last column: nearest neighbours and their distance in Å.
Space group P-1 (No. 2)
Inequivalent atoms, fractional coordinates:
Dy: 0.0000 0.0000 0.0000 (multiplicity 1)  2 Sc 3.24, 4 Y 3.42-3.46
Y: 0.2396 0.5824 0.4922 (multiplicity 2)  6 Y 3.27-3.59, 1 Sc 3.28
Y: 0.2528 0.5596 0.0047 (multiplicity 2)  6 Y 3.27-3.66, 1 Sc 3.35, 1 Dy 3.46
Y: 0.2713 0.0945 0.5304 (multiplicity 2)  7 Y 3.29-3.67, 1 Dy 3.42, 1 Sc 3.59
Sc: 0.5000 0.0000 0.0000 (multiplicity 1)  2 Dy 3.24, 6 Y 3.28-3.59